1.
Material: LaMgAgSe2S
Method: DFT, GGA-PBE
State: relaxed

Computed properties:
total moment: 0.02 μB/cell
SG: Cmcm, No. 63

Cell and atoms, written as POSCAR:
```
LaMgAgSe2S
1.0
1.999 -6.494 0.000
1.999 6.494 0.000
0.000 0.000 11.098
La Se Ag Mg S
2 4 2 2 2
Direct
0.000 0.000 0.500
0.000 0.000 0.000
0.344 0.656 0.918
0.656 0.344 0.418
0.344 0.656 0.582
0.656 0.344 0.082
0.486 0.514 0.750
0.514 0.486 0.250
0.246 0.754 0.250
0.754 0.246 0.750
0.111 0.889 0.750
0.889 0.111 0.250
```

***

2.
Material: LaMgAgSeS2
Method: DFT, GGA-PBE
State: relaxed

Computed properties:
total moment: 0.01 μB/cell
SG: Cmcm, No. 63

Cell and atoms, written as POSCAR:
```
LaMgAgSeS2
1.0
1.955 -6.504 0.000
1.955 6.504 0.000
0.000 0.000 11.206
La Ag Mg Se S
2 2 2 2 4
Direct
0.500 0.500 0.000
0.500 0.500 0.500
0.013 0.987 0.750
0.987 0.013 0.250
0.718 0.282 0.750
0.282 0.718 0.250
0.625 0.375 0.250
0.375 0.625 0.750
0.856 0.144 0.087
0.144 0.856 0.913
0.144 0.856 0.587
0.856 0.144 0.413
```

***

3.
Material: LaMgAgTe2S
Method: DFT, GGA-PBE
State: relaxed

Computed properties:
total moment: 0.01 μB/cell
SG: Cmcm, No. 63

Cell and atoms, written as POSCAR:
```
LaMgAgTe2S
1.0
2.194 0.207 -6.898
-5.539 0.815 4.593
2.522 10.806 1.126
Te S La Ag Mg
4 2 2 2 2
Direct
0.339 0.661 0.420
0.661 0.339 0.580
0.339 0.661 0.080
0.661 0.339 0.920
0.900 0.100 0.750
0.100 0.900 0.250
0.000 0.000 0.000
0.000 0.000 0.500
0.486 0.514 0.250
0.514 0.486 0.750
0.272 0.728 0.750
0.728 0.272 0.250
```

***

4.
Material: LaMgAgTeSe2
Method: DFT, GGA-PBE
State: relaxed

Computed properties:
total moment: 0.00 μB/cell
SG: Cmcm, No. 63

Cell and atoms, written as POSCAR:
```
LaMgAgTeSe2
1.0
2.036 -6.914 0.000
2.036 6.914 0.000
0.000 0.000 11.546
Se La Te Mg Ag
4 2 2 2 2
Direct
0.355 0.645 0.417
0.645 0.355 0.583
0.355 0.645 0.083
0.645 0.355 0.917
0.000 0.000 0.000
0.000 0.000 0.500
0.875 0.125 0.750
0.125 0.875 0.250
0.794 0.206 0.250
0.206 0.794 0.750
0.485 0.515 0.250
0.515 0.485 0.750
```

***

5.
Material: LaMgSi2Ag
Method: DFT, GGA-PBE
State: relaxed

Computed properties:
total moment: 0.01 μB/cell
SG: I-4m2, No. 119

Cell and atoms, written as POSCAR:
```
LaMgSi2Ag
1.0
-0.639 -3.871 4.937
-2.332 1.913 5.538
-1.306 0.258 -6.165
Ag Si Mg La
1 2 1 1
Direct
0.250 0.750 0.500
0.607 0.607 0.000
0.393 0.393 0.000
0.750 0.250 0.500
0.000 0.000 0.000
```

***

6.
Material: LaMgAgSn2
Method: DFT, GGA-PBE
State: relaxed

Computed properties:
total moment: 0.01 μB/cell
SG: I-4m2, No. 119

Cell and atoms, written as POSCAR:
```
LaMgAgSn2
1.0
1.153 -6.754 -1.369
-4.665 -5.144 0.772
0.769 6.392 -2.716
Sn Ag Mg La
2 1 1 1
Direct
0.637 0.137 0.500
0.863 0.363 0.500
0.000 0.000 0.000
0.500 0.500 0.000
0.250 0.750 0.500
```

***

7.
Material: SrLaMg4Ag2
Method: DFT, GGA-PBE
State: relaxed

Computed properties:
total moment: 0.05 μB/cell
SG: Amm2, No. 38

Cell and atoms, written as POSCAR:
```
SrLaMg4Ag2
1.0
5.793 0.000 0.000
0.000 2.851 9.080
0.000 -2.851 9.080
Mg Sr Ag La
4 1 2 1
Direct
0.251 0.209 0.209
0.252 0.794 0.794
0.749 0.209 0.209
0.748 0.794 0.794
0.000 0.613 0.613
0.000 0.928 0.928
0.000 0.074 0.074
0.000 0.378 0.378
```

***

8.
Material: LaMgAgTe3
Method: DFT, GGA-PBE
State: relaxed

Computed properties:
total moment: 0.00 μB/cell
SG: Cmcm, No. 63

Cell and atoms, written as POSCAR:
```
LaMgAgTe3
1.0
7.206 -2.125 0.000
7.206 2.125 0.000
0.000 0.000 11.722
Ag La Mg Te
2 2 2 6
Direct
0.481 0.481 0.250
0.519 0.519 0.750
0.000 0.000 0.000
0.000 0.000 0.500
0.777 0.777 0.250
0.223 0.223 0.750
0.888 0.888 0.750
0.112 0.112 0.250
0.655 0.655 0.579
0.655 0.655 0.921
0.345 0.345 0.079
0.345 0.345 0.421
```

***

no.,raw total energy (eV per atom)
1,-4.5420
2,-4.6869
3,-4.2011
4,-4.2882
5,-4.5119
6,-3.9166
7,-2.0069
8,-3.9792